1.
A relaxed Cs2PdBr2F4 crystal. Source: the Alexandria database, functional PBE.

Cell lengths 6.6849, 6.6849, 6.6849 Å; angles 113.30, 113.30, 102.05 degrees
With the nearest neighbours (Å) after each atom.
Element x y z (fractional)
Cs 0.2500 0.7500 0.5000  8 F 3.40, 4 Br 3.70
Cs 0.7500 0.2500 0.5000  8 F 3.40, 4 Br 3.70
Pd 0.0000 0.0000 0.0000  4 F 1.97
Br 0.2978 0.2978 0.0000  1 Pd 2.50
Br 0.7022 0.7022 0.0000  1 Pd 2.50
F 0.1899 0.1899 0.3798  1 Pd 1.97
F 0.1899 0.8101 0.0000  1 Pd 1.97
F 0.8101 0.1899 0.0000  1 Pd 1.97
F 0.8101 0.8101 0.6202  1 Pd 1.97

Output
Space-group type ... I4/mmm, No. 139


2.
A relaxed CsPm2Br2F5 crystal. Source: the Alexandria database, functional PBE.

Cell lengths 10.5658, 10.5658, 3.6277 Å; angles 90.00, 90.00, 90.00 degrees
With the nearest neighbours (Å) after each atom.
Element x y z (fractional)
Cs 0.0000 0.0000 0.0000  8 F 3.25, 2 Cs 3.63
Cs 0.5000 0.5000 0.0000  8 F 3.25, 2 Cs 3.63
Pm 0.1252 0.3748 0.0000  6 F 2.34-2.61
Pm 0.3748 0.8748 0.0000  6 F 2.34-2.61
Pm 0.6252 0.1252 0.0000  6 F 2.34-2.61
Pm 0.8748 0.6252 0.0000  6 F 2.34-2.61
Br 0.1680 0.6680 0.0000  3 Pm 3.09-3.13, 10 F 3.10-3.33
Br 0.3320 0.1680 0.0000  3 Pm 3.09-3.13, 10 F 3.10-3.33
Br 0.6680 0.8320 0.0000  3 Pm 3.09-3.13, 10 F 3.10-3.33
Br 0.8320 0.3320 0.0000  3 Pm 3.09-3.13, 10 F 3.10-3.33
F 0.0000 0.5000 0.5000  4 Pm 2.61, 4 F 2.84
F 0.0788 0.2427 0.5000  2 Pm 2.34
F 0.2427 0.9212 0.5000  2 Pm 2.34
F 0.2573 0.4212 0.5000  2 Pm 2.34
F 0.4212 0.7427 0.5000  2 Pm 2.34
F 0.5000 0.0000 0.5000  4 Pm 2.61, 4 F 2.84
F 0.5788 0.2573 0.5000  2 Pm 2.34
F 0.7427 0.5788 0.5000  2 Pm 2.34
F 0.7573 0.0788 0.5000  2 Pm 2.34
F 0.9212 0.7573 0.5000  2 Pm 2.34

Output
DOS(E_F) ... 0.00 states/eV/atom
Space-group type ... P4/mbm, No. 127


3.
A relaxed CsPr2Br2F5 crystal. Source: the Alexandria database, functional PBE.

Cell lengths 10.6591, 10.6591, 3.6887 Å; angles 90.00, 90.00, 90.00 degrees
With the nearest neighbours (Å) after each atom.
Element x y z (fractional)
Cs 0.0000 0.0000 0.0000  8 F 3.27
Cs 0.5000 0.5000 0.0000  8 F 3.27
Pr 0.1259 0.3741 0.0000  6 F 2.38-2.65
Pr 0.3741 0.8741 0.0000  6 F 2.38-2.65
Pr 0.6259 0.1259 0.0000  6 F 2.38-2.65
Pr 0.8741 0.6259 0.0000  6 F 2.38-2.65
Br 0.1675 0.6675 0.0000  3 Pr 3.12-3.16, 10 F 3.13-3.36
Br 0.3325 0.1675 0.0000  3 Pr 3.12-3.16, 10 F 3.13-3.36
Br 0.6675 0.8325 0.0000  3 Pr 3.12-3.16, 10 F 3.13-3.36
Br 0.8325 0.3325 0.0000  3 Pr 3.12-3.16, 10 F 3.13-3.36
F 0.0000 0.5000 0.5000  4 Pr 2.65, 4 F 2.89
F 0.0790 0.2405 0.5000  2 Pr 2.38
F 0.2405 0.9210 0.5000  2 Pr 2.38
F 0.2595 0.4210 0.5000  2 Pr 2.38
F 0.4210 0.7405 0.5000  2 Pr 2.38
F 0.5000 0.0000 0.5000  4 Pr 2.65, 4 F 2.89
F 0.5790 0.2595 0.5000  2 Pr 2.38
F 0.7405 0.5790 0.5000  2 Pr 2.38
F 0.7595 0.0790 0.5000  2 Pr 2.38
F 0.9210 0.7595 0.5000  2 Pr 2.38

Output
DOS(E_F) ... 0.00 states/eV/atom
Space-group type ... P4/mbm, No. 127


Results for uncorrected energy: -33.2; -109.2; -109.1 (in eV for the cell shown, following the order of the records).